Tm2Zn16Co: optimized geometry, PBE-GGA.

Computed properties:
**Magnetic moment**: 0.043 μB per atom
**Energy of formation**: -3.54 eV per formula unit

a b c (Å): 6.7281 6.7281 6.7281
angles (deg): 82.75 82.75 82.75
Sites, in units of the cell vectors:
Tm 0.0000 0.0000 0.0000
Tm 0.3373 0.3373 0.3373
Zn 0.0198 0.0198 0.5002
Zn 0.0198 0.5002 0.0198
Zn 0.1735 0.6562 0.6562
Zn 0.3107 0.3107 0.8148
Zn 0.3107 0.8148 0.3107
Zn 0.3709 0.6609 0.9516
Zn 0.3709 0.9516 0.6609
Zn 0.5002 0.0198 0.0198
Zn 0.6562 0.1735 0.6562
Zn 0.6562 0.6562 0.1735
Zn 0.6609 0.3709 0.9516
Zn 0.6609 0.9516 0.3709
Zn 0.7601 0.7601 0.7601
Zn 0.8148 0.3107 0.3107
Zn 0.9516 0.3709 0.6609
Zn 0.9516 0.6609 0.3709
Co 0.5628 0.5628 0.5628